(1)
Compound: RbBaAgSe2
Source: the Alexandria database
Functional: PBE
Structure: optimized geometry

Its final energy is -3.6404 eV/atom. As for the uncorrected formation energy: -1.098 eV per atom. Its space group is Cmme.

Unit cell a=5.592 b=9.154 c=9.451 alpha=118.97 beta=90.00 gamma=90.00
Sites, in units of the cell vectors:
Ag 0.000 0.500 0.000
Se 0.726 0.882 0.765
Ba 0.500 0.750 0.000
Rb 0.215 0.750 0.500
Se 0.274 0.382 0.765
Ba 0.500 0.250 0.000
Rb 0.785 0.250 0.500
Se 0.726 0.618 0.235
Se 0.274 0.118 0.235
Ag 0.000 0.000 0.000

***

(2)
Compound: Rb2BaSrAg
Source: the Alexandria database
Functional: PBE
Structure: optimized geometry

The formation energy is 0.153 eV per atom. Its final energy is -1.5247 eV/atom. Its space group is P4/mmm.

Unit cell a=6.855 b=6.536 c=6.855 alpha=90.00 beta=90.00 gamma=90.00
Sites, in units of the cell vectors:
Ag 0.000 0.000 0.000
Sr 0.000 0.500 0.000
Ba 0.500 0.500 0.500
Rb 0.000 0.000 0.500
Rb 0.500 0.000 0.000

***

(3)
Compound: RbBaAgTe2
Source: the Alexandria database
Functional: PBE
Structure: optimized geometry

Its final energy is -3.3600 eV/atom. As for the uncorrected formation energy: -0.955 eV per atom. Its space group is Cmme.

Unit cell a=5.859 b=9.436 c=10.035 alpha=118.05 beta=90.00 gamma=90.00
Sites, in units of the cell vectors:
Rb 0.772 0.250 0.500
Ba 0.500 0.250 0.000
Te 0.735 0.621 0.241
Rb 0.228 0.750 0.500
Ag 0.000 0.500 0.000
Te 0.265 0.121 0.241
Ba 0.500 0.750 0.000
Te 0.265 0.379 0.759
Ag 0.000 0.000 0.000
Te 0.735 0.879 0.759